A relaxed structure of NiTe2PbO6, computed with GGA+U.

Output
DFT total energy, eV per atom: -5.214
SG: No. 15
Density, g/cm³: 5.5

The structure in POSCAR format:
```
NiTe2PbO6
1.0
4.6017 -6.6956 0.0000
4.6017 6.6956 0.0000
-0.9240 0.0000 6.0327
Ni Te Pb O
2 4 2 12
Cartesian
3.9087 3.4238 4.5245
4.3707 -3.4238 1.5082
1.2067 1.3522 4.1800
1.6688 -1.3522 1.1637
6.6106 1.3522 4.8690
7.0727 -1.3522 1.8526
4.3707 1.8631 1.5082
3.9087 -1.8631 4.5245
3.3931 3.8751 2.7019
2.4250 2.3585 5.2395
2.3299 0.7693 2.7930
5.3483 3.8751 0.3144
1.8679 -0.7693 5.8094
5.3924 2.3585 3.8095
2.8870 -2.3585 2.2232
6.4115 0.7693 0.2233
2.9311 -3.8751 5.7182
5.9495 -0.7693 3.2396
5.8544 -2.3585 0.7931
4.8863 -3.8751 3.3308
```